Record 1
Entry from Alexandria via LeMat-Bulk: Pm2Ga4Pt3Au after structural relaxation (GGA-PBE).

```
Pm2Ga4Pt3Au
1.0
-1.037 3.374 -2.462
-3.868 0.182 1.877
3.876 6.555 7.351
Pm Ga Pt Au
2 4 3 1
direct
0.500 0.000 0.241
0.000 0.500 0.759
0.500 0.500 0.000
0.000 0.000 0.000
0.500 0.000 0.636
0.000 0.500 0.364
0.000 0.000 0.500
0.500 0.000 0.869
0.000 0.500 0.131
0.500 0.500 0.500
```

* formation enthalpy at 0 K: -0.89 eV per atom
* E_tot: -5.1898 eV/atom
* space group: P-4m2 (115)

***

Record 2
Entry from Alexandria via LeMat-Bulk: PmGa4Pt2Au after structural relaxation (GGA-PBE).

```
PmGa4Pt2Au
1.0
-1.612 -0.339 3.990
-2.959 -3.015 0.883
5.146 -7.020 3.818
Pm Ga Pt Au
1 4 2 1
direct
0.000 0.000 0.000
0.397 0.397 0.808
0.876 0.876 0.373
0.124 0.124 0.627
0.603 0.603 0.192
0.751 0.751 0.747
0.249 0.249 0.253
0.500 0.500 0.500
```

* formation enthalpy at 0 K: -0.59 eV per atom
* E_tot: -4.6208 eV/atom
* space group: R-3m (166)

***

Record 3
Entry from Alexandria via LeMat-Bulk: Pm2Ga4PtAu3 after structural relaxation (GGA-PBE).

```
Pm2Ga4PtAu3
1.0
-2.943 3.055 1.158
-2.463 -1.051 -3.487
-5.137 -7.139 5.779
Pm Ga Pt Au
2 4 1 3
direct
0.500 0.000 0.254
0.000 0.500 0.746
0.500 0.500 0.000
0.000 0.000 0.000
0.500 0.000 0.626
0.000 0.500 0.374
0.500 0.500 0.500
0.000 0.000 0.500
0.500 0.000 0.864
0.000 0.500 0.136
```

* formation enthalpy at 0 K: -0.70 eV per atom
* E_tot: -4.4518 eV/atom
* space group: P-4m2 (115)

***

Record 4
Entry from Alexandria via LeMat-Bulk: Pm2Ga3Pt4Au after structural relaxation (GGA-PBE).

```
Pm2Ga3Pt4Au
1.0
4.084 0.000 0.000
0.000 4.084 0.000
0.000 0.000 11.729
Pm Ga Pt Au
2 3 4 1
direct
0.500 0.000 0.253
0.000 0.500 0.747
0.000 0.000 0.500
0.500 0.000 0.872
0.000 0.500 0.128
0.500 0.500 0.000
0.000 0.000 0.000
0.500 0.000 0.661
0.000 0.500 0.339
0.500 0.500 0.500
```

* formation enthalpy at 0 K: -0.89 eV per atom
* E_tot: -5.4893 eV/atom
* space group: P-4m2 (115)

***

Record 5
Entry from Alexandria via LeMat-Bulk: PmGaRhAu after structural relaxation (GGA-PBE).

```
PmGaRhAu
1.0
-3.323 -2.923 -1.866
1.172 -4.493 -1.231
-1.657 -3.704 2.570
Rh Au Ga Pm
1 1 1 1
direct
0.500 0.500 0.500
0.000 0.000 0.000
0.250 0.250 0.250
0.750 0.750 0.750
```

* formation enthalpy at 0 K: -0.51 eV per atom
* E_tot: -5.1138 eV/atom
* space group: F-43m (216)

***

Record 6
Entry from Alexandria via LeMat-Bulk: Pm2Ga4RhAu3 after structural relaxation (GGA-PBE).

```
Pm2Ga4RhAu3
1.0
4.307 0.000 0.000
0.000 4.307 0.000
0.000 0.000 10.820
Pm Ga Rh Au
2 4 1 3
direct
0.500 0.000 0.255
0.000 0.500 0.745
0.500 0.500 0.000
0.000 0.000 0.000
0.500 0.000 0.627
0.000 0.500 0.373
0.500 0.500 0.500
0.000 0.000 0.500
0.500 0.000 0.860
0.000 0.500 0.140
```

* formation enthalpy at 0 K: -0.67 eV per atom
* E_tot: -4.5458 eV/atom
* space group: P-4m2 (115)

***

Record 7
Entry from Alexandria via LeMat-Bulk: PmGa4RhAu2 after structural relaxation (GGA-PBE).

```
PmGa4RhAu2
1.0
4.382 0.000 0.000
2.191 3.795 0.000
2.191 1.265 8.953
Pm Ga Rh Au
1 4 1 2
direct
0.000 0.000 0.000
0.400 0.400 0.799
0.864 0.864 0.408
0.136 0.136 0.592
0.600 0.600 0.201
0.500 0.500 0.500
0.753 0.753 0.740
0.247 0.247 0.260
```

* formation enthalpy at 0 K: -0.47 eV per atom
* E_tot: -4.3187 eV/atom
* space group: R-3m (166)

***

Record 8
Entry from Alexandria via LeMat-Bulk: PmGaSbAu after structural relaxation (GGA-PBE).

```
PmGaSbAu
1.0
5.201 0.000 0.000
2.601 4.505 0.000
2.601 1.502 4.247
Sb Au Ga Pm
1 1 1 1
direct
0.750 0.750 0.750
0.250 0.250 0.250
0.000 0.000 0.000
0.500 0.500 0.500
```

* E_tot: -4.2182 eV/atom
* energy relative to the elements, uncorrected: -424 meV/atom
* space group: F-43m (216)

***

Record 9
Entry from Alexandria via LeMat-Bulk: Pm2ScGa3Au4 after structural relaxation (GGA-PBE).

```
Pm2ScGa3Au4
1.0
-0.867 4.242 -0.291
-1.289 -0.545 -4.107
-10.633 -1.927 3.593
Pm Sc Ga Au
2 1 3 4
direct
0.500 0.000 0.227
0.000 0.500 0.773
0.500 0.500 0.500
0.000 0.000 0.500
0.500 0.000 0.869
0.000 0.500 0.131
0.500 0.500 0.000
0.000 0.000 0.000
0.500 0.000 0.648
0.000 0.500 0.352
```

* formation enthalpy at 0 K: -0.67 eV per atom
* E_tot: -4.4703 eV/atom
* space group: P-4m2 (115)

***

Record 10
Entry from Alexandria via LeMat-Bulk: PmScGa2Au2 after structural relaxation (GGA-PBE).

```
PmScGa2Au2
1.0
4.495 0.000 0.000
-2.248 3.893 0.000
0.000 0.000 7.058
Pm Sc Ga Au
1 1 2 2
direct
0.000 0.000 0.000
0.000 0.000 0.500
0.667 0.333 0.286
0.333 0.667 0.714
0.667 0.333 0.712
0.333 0.667 0.288
```

* formation enthalpy at 0 K: -0.77 eV per atom
* E_tot: -4.7150 eV/atom
* space group: P-3m1 (164)

***

Record 11
Entry from Alexandria via LeMat-Bulk: Pm2ScGa4Au3 after structural relaxation (GGA-PBE).

```
Pm2ScGa4Au3
1.0
4.262 0.000 0.000
0.000 4.262 0.000
0.000 0.000 11.635
Pm Sc Ga Au
2 1 4 3
direct
0.500 0.000 0.243
0.000 0.500 0.757
0.500 0.500 0.500
0.500 0.500 0.000
0.000 0.000 0.000
0.500 0.000 0.651
0.000 0.500 0.349
0.000 0.000 0.500
0.500 0.000 0.868
0.000 0.500 0.132
```

* formation enthalpy at 0 K: -0.65 eV per atom
* E_tot: -4.4235 eV/atom
* space group: P-4m2 (115)

***

Record 12
Entry from Alexandria via LeMat-Bulk: Pm2Ga3SiAu4 after structural relaxation (GGA-PBE).

```
Pm2Ga3SiAu4
1.0
4.436 0.000 0.000
0.000 4.436 0.000
0.000 0.000 10.352
Pm Ga Si Au
2 3 1 4
direct
0.500 0.000 0.252
0.000 0.500 0.748
0.000 0.000 0.500
0.500 0.000 0.866
0.000 0.500 0.134
0.500 0.500 0.500
0.500 0.500 0.000
0.000 0.000 0.000
0.500 0.000 0.623
0.000 0.500 0.377
```

* E_tot: -4.3169 eV/atom
* energy relative to the elements, uncorrected: -605 meV/atom
* space group: P-4m2 (115)

***

Record 13
Entry from Alexandria via LeMat-Bulk: Pm2GaSnAu6 after structural relaxation (GGA-PBE).

```
Pm2GaSnAu6
1.0
6.617 -0.854 -1.453
-0.594 6.855 1.502
2.053 4.028 5.386
Pm Ga Sn Au
2 1 1 6
direct
0.753 0.251 0.499
0.247 0.749 0.501
0.000 0.000 0.000
0.500 0.500 0.000
0.300 0.321 0.506
0.938 0.760 0.832
0.316 0.830 0.001
0.684 0.170 0.999
0.062 0.240 0.168
0.700 0.679 0.494
```

* formation enthalpy at 0 K: -0.48 eV per atom
* E_tot: -4.1019 eV/atom
* space group: P-1 (2)

***

Record 14
Entry from Alexandria via LeMat-Bulk: PmGa2SnAu5 after structural relaxation (GGA-PBE).

```
PmGa2SnAu5
1.0
4.523 0.000 0.000
0.000 4.523 0.000
0.000 0.000 8.932
Pm Ga Sn Au
1 2 1 5
direct
0.000 0.000 0.000
0.500 0.500 0.137
0.500 0.500 0.863
0.000 0.000 0.500
0.000 0.500 0.276
0.500 0.000 0.276
0.000 0.500 0.724
0.500 0.000 0.724
0.500 0.500 0.500
```

* formation enthalpy at 0 K: -0.40 eV per atom
* E_tot: -3.8614 eV/atom
* space group: P4/mmm (123)

***

Record 15
Entry from Alexandria via LeMat-Bulk: PmGaSnAu after structural relaxation (GGA-PBE).

```
PmGaSnAu
1.0
5.080 0.000 0.000
2.540 4.400 0.000
2.540 1.467 4.148
Au Sn Ga Pm
1 1 1 1
direct
0.250 0.250 0.250
0.500 0.500 0.500
0.750 0.750 0.750
0.000 0.000 0.000
```

* formation enthalpy at 0 K: -0.47 eV per atom
* E_tot: -4.2372 eV/atom
* space group: F-43m (216)

***

Record 16
Entry from Alexandria via LeMat-Bulk: TbPmGa2Au2 after structural relaxation (GGA-PBE).

```
TbPmGa2Au2
1.0
4.561 0.000 0.000
-2.280 3.950 0.000
0.000 0.000 7.298
Tb Pm Ga Au
1 1 2 2
direct
0.000 0.000 0.500
0.000 0.000 0.000
0.667 0.333 0.261
0.333 0.667 0.739
0.667 0.333 0.736
0.333 0.667 0.264
```

* formation enthalpy at 0 K: -0.78 eV per atom
* E_tot: -4.4471 eV/atom
* space group: P-3m1 (164)

***

Record 17
Entry from Alexandria via LeMat-Bulk: PmTiGaAu after structural relaxation (GGA-PBE).

```
PmTiGaAu
1.0
-1.364 4.746 0.066
-3.103 1.725 -3.433
-4.621 1.224 1.240
Ti Au Ga Pm
1 1 1 1
direct
0.750 0.750 0.750
0.500 0.500 0.500
0.000 0.000 0.000
0.250 0.250 0.250
```

* formation enthalpy at 0 K: -0.38 eV per atom
* E_tot: -5.1159 eV/atom
* space group: F-43m (216)

***

Record 18
Entry from Alexandria via LeMat-Bulk: PmTlGaAu after structural relaxation (GGA-PBE).

```
PmTlGaAu
1.0
-2.861 -1.889 -3.768
2.212 -2.306 -3.967
-0.437 -5.042 -0.584
Tl Au Ga Pm
1 1 1 1
direct
0.500 0.500 0.500
0.250 0.250 0.250
0.750 0.750 0.750
0.000 0.000 0.000
```

* formation enthalpy at 0 K: -0.42 eV per atom
* E_tot: -3.7775 eV/atom
* space group: F-43m (216)

***

Record 19
Entry from Alexandria via LeMat-Bulk: Pm2TmGa3Au4 after structural relaxation (GGA-PBE).

```
Pm2TmGa3Au4
1.0
4.381 0.000 0.000
0.000 4.381 0.000
0.000 0.000 11.543
Pm Tm Ga Au
2 1 3 4
direct
0.500 0.000 0.218
0.000 0.500 0.782
0.500 0.500 0.500
0.000 0.000 0.500
0.500 0.000 0.873
0.000 0.500 0.127
0.500 0.500 0.000
0.000 0.000 0.000
0.500 0.000 0.654
0.000 0.500 0.346
```

* formation enthalpy at 0 K: -0.67 eV per atom
* E_tot: -4.2832 eV/atom
* space group: P-4m2 (115)

***

Record 20
Entry from Alexandria via LeMat-Bulk: Pm3ZnGa2Au6 after structural relaxation (GGA-PBE).

```
Pm3ZnGa2Au6
1.0
-5.249 -0.873 -3.002
4.930 -3.308 -1.441
-2.256 -5.819 5.638
Pm Zn Ga Au
3 1 2 6
direct
0.333 0.667 0.630
0.667 0.333 0.370
0.000 0.000 0.000
0.000 0.000 0.500
0.667 0.333 0.987
0.333 0.667 0.013
0.646 0.823 0.280
0.177 0.354 0.280
0.177 0.823 0.280
0.823 0.646 0.720
0.354 0.177 0.720
0.823 0.177 0.720
```

* formation enthalpy at 0 K: -0.50 eV per atom
* E_tot: -3.9333 eV/atom
* space group: P-3m1 (164)

***

Record 21
Entry from Alexandria via LeMat-Bulk: Pm2Zn4Ga3Au after structural relaxation (GGA-PBE).

```
Pm2Zn4Ga3Au
1.0
-1.048 -4.048 -0.793
1.355 -1.111 3.878
-9.789 1.766 3.925
Pm Zn Ga Au
2 4 3 1
direct
0.500 0.000 0.247
0.000 0.500 0.753
0.500 0.500 0.000
0.000 0.000 0.000
0.500 0.000 0.639
0.000 0.500 0.361
0.000 0.000 0.500
0.500 0.000 0.866
0.000 0.500 0.134
0.500 0.500 0.500
```

* formation enthalpy at 0 K: -0.48 eV per atom
* E_tot: -3.1729 eV/atom
* space group: P-4m2 (115)

***

Record 22
Entry from Alexandria via LeMat-Bulk: PmZnGaAu after structural relaxation (GGA-PBE).

```
PmZnGaAu
1.0
4.883 0.000 0.000
2.441 4.228 0.000
2.441 1.409 3.987
Zn Au Ga Pm
1 1 1 1
direct
0.500 0.500 0.500
0.750 0.750 0.750
0.250 0.250 0.250
0.000 0.000 0.000
```

* formation enthalpy at 0 K: -0.48 eV per atom
* E_tot: -3.5638 eV/atom
* space group: F-43m (216)

***

Record 23
Entry from Alexandria via LeMat-Bulk: PmZnGaAu2 after structural relaxation (GGA-PBE).

```
PmZnGaAu2
1.0
-3.020 2.463 1.267
-2.590 -1.846 -2.584
1.323 -4.390 5.060
Pm Zn Ga Au
1 1 1 2
direct
0.000 0.000 0.000
0.750 0.250 0.500
0.250 0.750 0.500
0.612 0.612 0.223
0.388 0.388 0.777
```

* formation enthalpy at 0 K: -0.57 eV per atom
* E_tot: -3.6914 eV/atom
* space group: I-4m2 (119)

***

Record 24
Entry from Alexandria via LeMat-Bulk: Pm3Zn6GaAu2 after structural relaxation (GGA-PBE).

```
Pm3Zn6GaAu2
1.0
5.504 0.000 0.000
-2.752 4.766 0.000
0.000 0.000 9.516
Pm Zn Ga Au
3 6 1 2
direct
0.333 0.667 0.586
0.667 0.333 0.414
0.000 0.000 0.000
0.657 0.828 0.268
0.172 0.343 0.268
0.172 0.828 0.268
0.828 0.657 0.732
0.343 0.172 0.732
0.828 0.172 0.732
0.000 0.000 0.500
0.667 0.333 0.972
0.333 0.667 0.028
```

* formation enthalpy at 0 K: -0.28 eV per atom
* E_tot: -2.9079 eV/atom
* space group: P-3m1 (164)

***

Record 25
Entry from Alexandria via LeMat-Bulk: PmZn2GaAu after structural relaxation (GGA-PBE).

```
PmZn2GaAu
1.0
-3.780 -1.884 -0.212
1.743 -3.264 -2.060
2.007 0.045 5.981
Pm Zn Ga Au
1 2 1 1
direct
0.446 0.446 0.892
0.688 0.188 0.375
0.059 0.059 0.119
0.188 0.688 0.377
0.831 0.831 0.662
```

* formation enthalpy at 0 K: -0.49 eV per atom
* E_tot: -3.2113 eV/atom
* space group: Imm2 (44)

***

Number 1: ρ 11.45 g/cm3, total moment 0.00 μB per formula unit. Number 2: ρ 11.34 g/cm3, total moment 0.00 μB per formula unit. Number 3: ρ 11.06 g/cm3, total moment 0.00 μB per formula unit. Number 4: ρ 12.53 g/cm3, total moment 0.00 μB per formula unit. Number 5: ρ 10.90 g/cm3, total moment 0.00 μB per formula unit. Number 6: ρ 10.45 g/cm3, total moment 0.00 μB per formula unit. Number 7: ρ 10.27 g/cm3, total moment 0.00 μB per formula unit. Number 8: ρ 8.90 g/cm3, total moment 0.00 μB per formula unit. Number 9: ρ 10.31 g/cm3, total moment 0.00 μB per formula unit. Number 10: ρ 9.72 g/cm3, total moment 0.00 μB per formula unit. Number 11: ρ 9.47 g/cm3, total moment 0.00 μB per formula unit. Number 12: ρ 10.72 g/cm3, total moment 0.00 μB per formula unit. Number 13: ρ 12.37 g/cm3, total moment 0.00 μB per formula unit. Number 14: ρ 12.61 g/cm3, total moment 0.00 μB per formula unit. Number 15: ρ 9.50 g/cm3, total moment 0.00 μB per formula unit. Number 16: ρ 10.58 g/cm3, total moment 0.00 μB per formula unit. Number 17: ρ 8.96 g/cm3, total moment 1.62 μB per formula unit. Number 18: ρ 10.94 g/cm3, total moment 0.00 μB per formula unit. Number 19: ρ 10.91 g/cm3, total moment 0.00 μB per formula unit. Number 20: ρ 11.13 g/cm3, total moment 0.00 μB per formula unit. Number 21: ρ 8.21 g/cm3, total moment 0.00 μB per formula unit. Number 22: ρ 9.63 g/cm3, total moment 0.00 μB per formula unit. Number 23: ρ 10.78 g/cm3, total moment 0.00 μB per formula unit. Number 24: ρ 8.59 g/cm3, total moment 0.00 μB per formula unit. Number 25: ρ 9.06 g/cm3, total moment 0.00 μB per formula unit.